Below is an optimized crystal structure of Pb7Au5, with properties calculated at the GGA-PBE level.

Total magnetization in μB/f.u.: 0.000
ΔE_f in eV/f.u.: -0.41
Total DFT energy (no corrections) in eV per atom: -3.56
D(E_F) in states/eV/cell: 5.20

Cell lengths 7.9177, 7.9177, 12.3105 Å; angles 106.65, 106.65, 26.88 degrees
With the nearest neighbours (Å) after each atom.
Fractional coordinates of all 12 atoms:
Pb1 0.0000 0.0000 0.0000  4 Au 3.01
Pb2 0.1633 0.1633 0.5467  5 Au 3.03-3.10
Pb3 0.2545 0.2545 0.8547  5 Au 2.88-3.04
Pb4 0.4671 0.4671 0.7189  4 Au 2.87-2.93
Pb5 0.5329 0.5329 0.2811  4 Au 2.87-2.93
Pb6 0.7455 0.7455 0.1453  5 Au 2.88-3.04
Pb7 0.8367 0.8367 0.4533  5 Au 3.03-3.10
Au1 0.1857 0.1857 0.3060  7 Pb 2.93-3.10
Au2 0.3778 0.3778 0.0820  6 Pb 2.87-3.01
Au3 0.5000 0.5000 0.5000  6 Pb 2.89-3.03
Au4 0.6222 0.6222 0.9180  6 Pb 2.87-3.01
Au5 0.8143 0.8143 0.6940  7 Pb 2.93-3.10